Mg4NiO5 after structural relaxation, computed with GGA+U.

The structure in POSCAR format:
```
Mg4NiO5
1.0
4.973 -1.502 0.000
4.973 1.502 0.000
-3.613 0.000 6.396
Mg Ni O
4 1 5
Direct
0.098 0.098 0.397
0.298 0.298 0.200
0.702 0.702 0.800
0.902 0.902 0.603
0.500 0.500 0.000
0.101 0.101 0.900
0.300 0.300 0.699
0.500 0.500 0.500
0.700 0.700 0.301
0.899 0.899 0.100
```

Output
space group	C2/m (12)
electronic total energy	-5.764	eV/atom